## Ce2BrN (PBE)

Data for crystalline Ce2BrN at its relaxed geometry.

abc: 3.624 3.624 7.810
angles: 76.58 76.58 60.00
Site moments in Bohr magnetons follow the coordinates.
Fractional positions:
Br 0.499 0.499 0.503  -0.01
N 0.666 0.666 0.002  -0.03
Ce 0.062 0.062 0.815  0.73
Ce 0.274 0.274 0.179  0.89

Output
Total DFT energy (no corrections), eV/atom: -6.8440
Fermi-level density of states, states/eV per atom: 1.60
V, Å³ per cell: 85.60
Space-group type: R3m, No. 160

## Ce2BrN (PBE)

Data for crystalline Ce2BrN at its relaxed geometry.

abc: 3.280 3.280 7.359
angles: 90.00 90.00 90.00
Site moments in Bohr magnetons follow the coordinates.
Fractional positions:
Br 0.500 0.500 0.500  -0.01
N 0.500 0.500 0.000  -0.06
Ce 0.000 0.000 0.806  1.22
Ce 0.000 0.000 0.194  1.22

Output
Total DFT energy (no corrections), eV/atom: -6.2855
Fermi-level density of states, states/eV per atom: 2.38
V, Å³ per cell: 79.15
Space-group type: P4/mmm, No. 123

## CeBr4N2 (PBE)

Data for crystalline CeBr4N2 at its relaxed geometry.

abc: 4.906 4.909 9.360
angles: 105.16 105.19 90.00
Site moments in Bohr magnetons follow the coordinates.
Fractional positions:
Br 0.903 0.403 0.805  -0.01
Br 0.403 0.903 0.805  -0.01
Br 0.597 0.097 0.195  -0.01
N 0.750 0.750 0.499  1.92
Ce 0.000 0.000 0.000  0.34
Br 0.097 0.597 0.195  -0.01
N 0.250 0.250 0.501  1.92

Output
Total DFT energy (no corrections), eV/atom: -3.7428
Fermi-level density of states, states/eV per atom: 0.47
V, Å³ per cell: 209.38
Space-group type: I4/mmm, No. 139

## Ce7Br12N (PBE)

Data for crystalline Ce7Br12N at its relaxed geometry.

abc: 9.212 9.212 9.212
angles: 107.45 107.45 107.45
Site moments in Bohr magnetons follow the coordinates.
Fractional positions:
Ce 0.302 0.107 0.034  1.10
Ce 0.500 0.500 0.500  1.11
N 0.000 0.000 0.000  -0.10
Ce 0.698 0.893 0.966  1.10
Br 0.077 0.684 0.225  -0.01
Ce 0.893 0.966 0.698  1.10
Br 0.775 0.923 0.316  -0.01
Br 0.684 0.225 0.077  -0.01
Ce 0.966 0.698 0.893  1.10
Ce 0.107 0.034 0.302  1.10
Br 0.388 0.475 0.151  -0.01
Br 0.923 0.316 0.775  -0.01
Br 0.225 0.077 0.684  -0.01
Br 0.849 0.612 0.525  -0.01
Br 0.475 0.151 0.388  -0.01
Br 0.525 0.849 0.612  -0.01
Br 0.151 0.388 0.475  -0.01
Br 0.612 0.525 0.849  -0.01
Ce 0.034 0.302 0.107  1.10
Br 0.316 0.775 0.923  -0.01

Output
Total DFT energy (no corrections), eV/atom: -5.1035
Fermi-level density of states, states/eV per atom: 2.57
V, Å³ per cell: 643.00
Space-group type: R-3, No. 148

## Ce4Br3N2 (PBE)

Data for crystalline Ce4Br3N2 at its relaxed geometry.

abc: 3.524 7.479 8.739
angles: 103.21 90.00 103.63
Site moments in Bohr magnetons follow the coordinates.
Fractional positions:
N 0.699 0.399 0.826  -0.05
Ce 0.681 0.362 0.100  0.81
Ce 0.093 0.185 0.720  0.97
N 0.301 0.601 0.174  -0.05
Br 0.000 0.000 0.000  0.00
Br 0.401 0.802 0.588  -0.01
Ce 0.319 0.638 0.900  0.81
Ce 0.907 0.815 0.280  0.97
Br 0.599 0.198 0.412  -0.01

Output
Total DFT energy (no corrections), eV/atom: -6.4409
Fermi-level density of states, states/eV per atom: 1.97
V, Å³ per cell: 217.59
Space-group type: C2/m, No. 12

## CeNdBrN (PBE)

Data for crystalline CeNdBrN at its relaxed geometry.

abc: 3.675 3.677 7.777
angles: 89.99 103.66 120.04
Site moments in Bohr magnetons follow the coordinates.
Fractional positions:
Ce 0.087 0.942 0.044  0.79
Nd 0.512 0.154 0.681  0.02
N 0.308 0.552 0.876  -0.01
Br 0.971 0.383 0.369  0.00

Output
Total DFT energy (no corrections), eV/atom: -6.5540
Fermi-level density of states, states/eV per atom: 0.97
V, Å³ per cell: 87.54
Space-group type: R3m, No. 160

## CeNd2Br2N2 (PBE)

Data for crystalline CeNd2Br2N2 at its relaxed geometry.

abc: 4.531 4.531 8.791
angles: 104.93 104.93 90.00
Site moments in Bohr magnetons follow the coordinates.
Fractional positions:
Nd 0.407 0.407 0.814  0.39
N 0.500 0.000 0.000  -0.04
Br 0.816 0.816 0.632  0.01
N 0.000 0.500 0.000  -0.04
Ce 0.000 0.000 0.000  0.38
Br 0.184 0.184 0.368  0.01
Nd 0.593 0.593 0.186  0.39

Output
Total DFT energy (no corrections), eV/atom: -6.3333
Fermi-level density of states, states/eV per atom: 0.68
V, Å³ per cell: 168.07
Space-group type: I4/mmm, No. 139

## Ce2BrNO (PBE)

Data for crystalline Ce2BrNO at its relaxed geometry.

abc: 3.988 3.988 7.530
angles: 90.00 90.00 120.00
Site moments in Bohr magnetons follow the coordinates.
Fractional positions:
Ce 0.333 0.667 0.319  0.90
N 0.333 0.667 0.620  -0.04
Ce 0.667 0.333 0.689  0.82
O 0.667 0.333 0.368  -0.02
Br 0.000 0.000 0.004  -0.01

Output
Total DFT energy (no corrections), eV/atom: -7.6406
Fermi-level density of states, states/eV per atom: 1.63
V, Å³ per cell: 103.73
Space-group type: P3m1, No. 156